No. 1
Rh2CO | PBE | relaxed

Results
space-group type	I-42d, No. 122
raw formation energy	0.11	eV per atom
relative energy among the computed polymorphs	0.000	eV/atom
crystal system	tetragonal

abc: 5.7195 5.7195 5.7195
angles: 131.78 131.78 70.57
Closest atoms and distances in Å follow each position.
Fractional coordinates of all 8 atoms:
Rh1 0.0875 0.6250 0.9625  2 C 1.93, 2 O 2.13
Rh2 0.3750 0.3375 0.4625  2 C 1.93, 2 O 2.13
Rh3 0.6625 0.1250 0.0375  2 C 1.93, 2 O 2.13
Rh4 0.8750 0.9125 0.5375  2 C 1.93, 2 O 2.13
C1 0.0000 0.0000 0.0000  4 Rh 1.93
C2 0.7500 0.2500 0.5000  4 Rh 1.93
O1 0.2500 0.7500 0.5000  4 Rh 2.13
O2 0.5000 0.5000 0.0000  4 Rh 2.13

***

No. 2
CaAc5Pb3 | PBE | relaxed

Results
ΔH_f (0 K)	-0.372	eV per atom
space-group type	P6_3/mcm, No. 193
crystal system	hexagonal

abc: 10.3562 10.3562 7.2637
angles: 90.00 90.00 120.00
Closest atoms and distances in Å follow each position.
Fractional coordinates of all 18 atoms:
Ca1 0.0000 0.0000 0.0000  2 Ca 3.63, 6 Ac 3.83, 6 Pb 3.95
Ca2 0.0000 0.0000 0.5000  2 Ca 3.63, 6 Ac 3.83, 6 Pb 3.95
Ac1 0.0000 0.3253 0.2500  5 Pb 3.44-3.63, 2 Ca 3.83
Ac2 0.0000 0.6747 0.7500  5 Pb 3.44-3.63, 2 Ca 3.83
Ac3 0.3253 0.0000 0.2500  5 Pb 3.44-3.63, 2 Ca 3.83
Ac4 0.3253 0.3253 0.7500  5 Pb 3.44-3.63, 2 Ca 3.83
Ac5 0.3333 0.6667 0.0000  8 Ac 3.63-3.94, 6 Pb 3.88
Ac6 0.3333 0.6667 0.5000  8 Ac 3.63-3.94, 6 Pb 3.88
Ac7 0.6667 0.3333 0.0000  8 Ac 3.63-3.94, 6 Pb 3.88
Ac8 0.6667 0.3333 0.5000  8 Ac 3.63-3.94, 6 Pb 3.88
Ac9 0.6747 0.0000 0.7500  5 Pb 3.44-3.63, 2 Ca 3.83
Ac10 0.6747 0.6747 0.2500  5 Pb 3.44-3.63, 2 Ca 3.83
Pb1 0.0000 0.3389 0.7500  5 Ac 3.44-3.63
Pb2 0.0000 0.6611 0.2500  5 Ac 3.44-3.63
Pb3 0.3389 0.0000 0.7500  5 Ac 3.44-3.63
Pb4 0.3389 0.3389 0.2500  5 Ac 3.44-3.63
Pb5 0.6611 0.0000 0.2500  5 Ac 3.44-3.63
Pb6 0.6611 0.6611 0.7500  5 Ac 3.44-3.63

***

No. 3
Pr3Dy7Er2 | PBE | relaxed

Results
ΔH_f (0 K)	0.283	eV per atom
space-group type	R-3m, No. 166
relative energy among the computed polymorphs	0.195	eV/atom
crystal system	trigonal

abc: 11.9738 11.9738 11.9738
angles: 31.53 31.53 31.53
Closest atoms and distances in Å follow each position.
Fractional coordinates of all 12 atoms:
Pr1 0.0000 0.0000 0.0000  6 Er 3.76
Pr2 0.1561 0.1561 0.1561  12 Dy 3.71-4.09, 3 Pr 3.83
Pr3 0.8439 0.8439 0.8439  12 Dy 3.71-4.09, 3 Pr 3.83
Dy1 0.0825 0.5838 0.5838  5 Dy 3.25-3.41, 2 Er 3.40-3.41
Dy2 0.4162 0.4162 0.9175  5 Dy 3.25-3.41, 2 Er 3.40-3.41
Dy3 0.4162 0.9175 0.4162  5 Dy 3.25-3.41, 2 Er 3.40-3.41
Dy4 0.5000 0.5000 0.5000  6 Dy 3.41, 6 Pr 3.77
Dy5 0.5838 0.0825 0.5838  5 Dy 3.25-3.41, 2 Er 3.40-3.41
Dy6 0.5838 0.5838 0.0825  5 Dy 3.25-3.41, 2 Er 3.40-3.41
Dy7 0.9175 0.4162 0.4162  5 Dy 3.25-3.41, 2 Er 3.40-3.41
Er1 0.3332 0.3332 0.3332  6 Dy 3.40-3.41, 3 Pr 3.76, 3 Er 3.76
Er2 0.6668 0.6668 0.6668  6 Dy 3.40-3.41, 3 Pr 3.76, 3 Er 3.76